The following is a PBE+U calculation of crystalline Mn4CrO8 at its relaxed geometry, from Alexandria via LeMat-Bulk.

The calculation puts the total energy at -97.30 eV for the cell shown. The value obtained for the calculated volume is 12.14 Å³ per atom. Its crystal system is monoclinic.

a = 6.0031 Å, b = 6.0031 Å, c = 6.1723 Å
α = 118.85°, β = 118.85°, γ = 58.34°
With the nearest neighbours (Å) after each atom.
Fractional coordinates of all 13 atoms:
1 Mn 0.0000 0.0000 0.0000  6 O 2.02-2.25
2 Mn 0.0000 0.5000 0.0000  6 O 1.95
3 Mn 0.5000 0.0000 0.0000  6 O 1.95
4 Mn 0.5000 0.5000 0.5000  6 O 2.15-2.27
5 Cr 0.5000 0.5000 0.0000  6 O 2.01-2.03
6 O 0.2238 0.7223 0.1956  2 Mn 1.95-2.02, 1 Cr 2.01
7 O 0.2573 0.2573 0.2152  3 Mn 1.95-2.15
8 O 0.2682 0.2682 0.8110  2 Mn 1.95, 1 Cr 2.03
9 O 0.2777 0.7762 0.8044  2 Mn 1.95-2.02, 1 Cr 2.01
10 O 0.7223 0.2238 0.1956  2 Mn 1.95-2.02, 1 Cr 2.01
11 O 0.7318 0.7318 0.1890  2 Mn 1.95, 1 Cr 2.03
12 O 0.7427 0.7427 0.7848  3 Mn 1.95-2.15
13 O 0.7762 0.2777 0.8044  2 Mn 1.95-2.02, 1 Cr 2.01